First-principles (PBE) data for crystalline SrHgPd at its relaxed geometry, as listed in Alexandria.

Unit cell a=3.778 b=3.778 c=10.472 alpha=90.00 beta=90.00 gamma=90.00
Fractional positions:
Sr1 0.000 0.000 0.000
Sr2 0.500 0.500 0.500
Hg1 0.000 0.000 0.304
Hg2 0.500 0.500 0.804
Pd1 0.000 0.000 0.684
Pd2 0.500 0.500 0.184

Summary:
The calculation puts the total magnetization at 0.00 Bohr magnetons per cell. The total energy comes out at -2.84 eV/atom. Its calculated formation energy is -451 meV/atom.

=====

First-principles (PBE) data for crystalline NaAl2Sb at its relaxed geometry, as listed in Alexandria.

Unit cell a=8.580 b=8.580 c=5.634 alpha=90.00 beta=90.00 gamma=90.00
Fractional positions:
Na1 0.000 0.000 0.000
Na2 0.000 0.500 0.250
Na3 0.500 0.000 0.750
Na4 0.500 0.500 0.500
Al1 0.195 0.250 0.625
Al2 0.250 0.695 0.875
Al3 0.250 0.805 0.375
Al4 0.305 0.250 0.125
Al5 0.695 0.750 0.125
Al6 0.750 0.195 0.375
Al7 0.750 0.305 0.875
Al8 0.805 0.750 0.625
Sb1 0.000 0.000 0.500
Sb2 0.000 0.500 0.750
Sb3 0.500 0.000 0.250
Sb4 0.500 0.500 0.000

Summary:
For the raw formation energy, the calculation gives 0.111 eV per atom. The calculation puts the total magnetization at 0.00 Bohr magnetons per cell. The total energy comes out at -3.12 eV/atom.

=====

First-principles (PBE) data for crystalline ZrBSbI2 at its relaxed geometry, as listed in Alexandria.

Unit cell a=4.880 b=4.880 c=5.107 alpha=90.00 beta=90.00 gamma=90.00
Fractional positions:
Zr1 0.000 0.000 0.000
B1 0.500 0.500 0.500
Sb1 0.500 0.500 0.000
I1 0.000 0.500 0.500
I2 0.500 0.000 0.500

Summary:
For the raw formation energy, the calculation gives 0.826 eV per atom. The calculation puts the total magnetization at 0.94 Bohr magnetons per cell. The total energy comes out at -3.66 eV/atom.

=====

Which of these has the lowest total energy? ZrBSbI2

=====

Number 1 is which compound? SrHgPd

=====

Which formula does entry 3 have? ZrBSbI2